First-principles (PBE) data for a geometry-optimized ThSbRu2C structure, as listed in the Alexandria database.

Summary:
- Formation energy (no corrections): -2.04 eV per formula unit
- Volume: 182.1 Å³/cell
- DFT total energy: -41.356 eV/f.u.

a = 4.097 Å, b = 6.289 Å, c = 7.476 Å
α = 90.00°, β = 90.00°, γ = 109.01°
Fractional coordinates of all 10 atoms:
Th: 0.449 0.898 0.750
Th: 0.551 0.102 0.250
Sb: 0.728 0.455 0.750
Sb: 0.272 0.545 0.250
Ru: 0.153 0.306 0.950
Ru: 0.847 0.694 0.050
Ru: 0.153 0.306 0.550
Ru: 0.847 0.694 0.450
C: 0.000 0.000 0.000
C: 0.000 0.000 0.500